# PBE-GGA BaCrIN2, optimized geometry
# density of states at the Fermi level: 3.02 states/eV/cell
# energy: -5.59 eV/atom
# total magnetic moment: 1.0 μB/cell
# formation energy without anion corrections: 0.361 eV/atom
# ΔE to the lowest computed polymorph: 0 meV/atom
data_BaCrIN2
_chemical_formula_sum 'Ba1 Cr1 I1 N2'
_cell_length_a 4.334
_cell_length_b 4.334
_cell_length_c 5.370
_cell_angle_alpha 90.00
_cell_angle_beta 90.00
_cell_angle_gamma 90.00
_symmetry_space_group_name_H-M 'P 1'
_symmetry_Int_Tables_number 1
_symmetry_space_group_name_Hall 'P 1'
loop_
_atom_site_label
_atom_site_fract_x
_atom_site_fract_y
_atom_site_fract_z
I1 0.000 0.000 0.500
Ba1 0.500 0.500 0.500
N1 0.500 0.000 0.000
N2 0.000 0.500 0.000
Cr1 0.000 0.000 0.000